# SrBi2RhO8 PBE-GGA optimized geometry
# DOS(E_F) in states/eV/cell: 5.94
# VASP energy in eV per atom: -5.771
# Formation energy (no corrections) in eV/atom: -1.066
data_SrBi2RhO8
_cell_length_a 4.972
_cell_length_b 6.896
_cell_length_c 5.036
_cell_angle_alpha 90.00
_cell_angle_beta 92.18
_cell_angle_gamma 90.00
_symmetry_space_group_name_H-M 'P 1 2/m 1'
_symmetry_Int_Tables_number 10
loop_
_symmetry_equiv_pos_as_xyz
'x,y,z'
'-x,-y,-z'
'-x,y,-z'
'x,-y,z'
loop_
_atom_site_label
_atom_site_fract_x
_atom_site_fract_y
_atom_site_fract_z
Sr1 0.000 0.000 0.000
Bi1 0.500 0.257 0.500
Rh1 0.000 0.500 0.000
O1 0.233 0.292 0.153
O2 0.242 0.500 0.681
O3 0.281 0.000 0.626